First-principles (GGA-PBEsol) data for an optimized crystal structure of HgI2O, as listed in the Alexandria database.

Formation energy without anion corrections: 112 meV per atom
DOS at the Fermi energy: 0.84 states/eV/atom
Raw total energy: -2.226 eV per atom

```
8
Lattice="0.000 5.149 5.149 5.149 0.000 5.149 5.149 5.149 0.000" Properties=species:S:1:pos:R:3 pbc="T T T"
Hg 1.287 1.287 1.287
Hg 9.010 9.010 9.010
I 5.149 2.574 2.574
I 2.574 5.149 2.574
I 2.574 2.574 5.149
I 5.149 5.149 5.149
O 3.862 3.862 3.862
O 6.436 6.436 6.436
```

First-principles (GGA-PBEsol) data for an optimized crystal structure of Ta2MoW, as listed in the Alexandria database.

Energy of formation from the pure elements: -0.084 eV per atom
DOS at the Fermi energy: 0.79 states/eV/atom
Raw total energy: -12.753 eV per atom

```
4
Lattice="-1.599 2.291 4.473 1.599 -2.291 4.473 1.599 2.291 -4.473" Properties=species:S:1:pos:R:3 pbc="T T T"
Ta 0.000 0.000 2.221
Ta 0.000 0.000 6.725
Mo 1.599 0.000 0.000
W 0.000 2.291 0.000
```

First-principles (GGA-PBEsol) data for an optimized crystal structure of LiTaFe4, as listed in the Alexandria database.

Energy of formation from the pure elements: -0.033 eV per atom
DOS at the Fermi energy: 0.57 states/eV/atom
Raw total energy: -8.428 eV per atom

```
6
Lattice="0.000 3.295 3.295 3.295 0.000 3.295 3.295 3.295 0.000" Properties=species:S:1:pos:R:3 pbc="T T T"
Li 0.000 0.000 0.000
Ta 1.648 1.648 1.648
Fe 4.123 2.468 2.468
Fe 2.468 4.123 2.468
Fe 2.468 2.468 4.123
Fe 4.123 4.123 4.123
```

First-principles (GGA-PBEsol) data for an optimized crystal structure of Li2CaCu, as listed in the Alexandria database.

Energy of formation from the pure elements: 0.040 eV per atom
DOS at the Fermi energy: 0.62 states/eV/atom
Relative energy among the computed polymorphs: 0.000 eV/atom
Raw total energy: -2.560 eV per atom

```
4
Lattice="3.457 0.000 0.000 0.000 3.457 0.000 0.000 0.000 6.816" Properties=species:S:1:pos:R:3 pbc="T T T"
Li 0.000 0.000 0.000
Li 1.728 1.728 1.430
Ca 0.000 0.000 3.880
Cu 1.728 1.728 5.609
```

First-principles (GGA-PBEsol) data for an optimized crystal structure of YBeRe2, as listed in the Alexandria database.

Energy of formation from the pure elements: 0.302 eV per atom
DOS at the Fermi energy: 0.70 states/eV/atom
Raw total energy: -9.069 eV per atom

```
4
Lattice="-1.313 2.352 4.956 1.313 -2.352 4.956 1.313 2.352 -4.956" Properties=species:S:1:pos:R:3 pbc="T T T"
Y 0.000 0.000 0.000
Be 0.000 0.000 4.956
Re 1.313 0.000 2.909
Re 0.000 2.352 2.048
```

First-principles (GGA-PBEsol) data for an optimized crystal structure of ScIrO2F, as listed in the Alexandria database.

Formation energy without anion corrections: -919 meV per atom
DOS at the Fermi energy: 0.70 states/eV/atom
Raw total energy: -6.690 eV per atom

```
5
Lattice="3.921 0.000 0.000 0.000 3.921 0.000 0.000 0.000 4.137" Properties=species:S:1:pos:R:3 pbc="T T T"
Sc 0.000 0.000 0.000
Ir 1.961 1.961 2.068
O 0.000 1.961 2.068
O 1.961 0.000 2.068
F 1.961 1.961 0.000
```

First-principles (GGA-PBEsol) data for an optimized crystal structure of Li2Cr2S, as listed in the Alexandria database.

Formation energy without anion corrections: 533 meV per atom
DOS at the Fermi energy: 1.12 states/eV/atom
Raw total energy: -5.228 eV per atom

```
5
Lattice="-1.504 1.504 6.947 1.504 -1.504 6.947 1.504 1.504 -6.947" Properties=species:S:1:pos:R:3 pbc="T T T"
Li 1.504 0.000 3.473
Li 0.000 1.504 3.473
Cr 0.000 0.000 1.087
Cr 0.000 0.000 12.806
S 0.000 0.000 6.947
```

First-principles (GGA-PBEsol) data for an optimized crystal structure of Zn2PtPb, as listed in the Alexandria database.

Energy of formation from the pure elements: -0.086 eV per atom
DOS at the Fermi energy: 0.39 states/eV/atom
Raw total energy: -3.617 eV per atom

```
4
Lattice="3.901 -2.001 0.000 3.901 2.001 0.000 -1.876 0.000 4.895" Properties=species:S:1:pos:R:3 pbc="T T T"
Zn 1.425 0.000 0.702
Zn 4.501 0.000 4.193
Pt 3.901 0.000 0.000
Pb -0.938 0.000 2.447
```